1.
Below is a relaxed structure of ZrTaCu2B, with properties calculated at the PBE level.

Unit cell a=4.023 b=4.023 c=4.552 alpha=90.00 beta=90.00 gamma=90.00
Atoms (fractional coordinates):
Zr 0.000 0.000 0.000
Ta 0.500 0.500 0.000
Cu 0.000 0.500 0.500
Cu 0.500 0.000 0.500
B 0.000 0.000 0.500

Properties
E_form ... 0.275 eV per atom
Calculated volume ... 73.7 Å³/f.u.
Energy above the lowest structure with this stoichiometry ... 230.6 meV/atom
SG ... No. 123


2.
Below is a relaxed structure of ZrTaCu2B, with properties calculated at the PBE level.

Unit cell a=4.064 b=4.064 c=4.431 alpha=90.00 beta=90.00 gamma=90.00
Atoms (fractional coordinates):
Zr 0.000 0.000 0.000
Ta 0.500 0.500 0.000
Cu 0.000 0.500 0.500
Cu 0.500 0.000 0.500
B 0.500 0.500 0.500

Properties
E_form ... 0.044 eV per atom
Calculated volume ... 73.2 Å³/f.u.
Energy above the lowest structure with this stoichiometry ... 0.0 meV/atom
SG ... No. 123


3.
Below is a relaxed structure of CuTcB2, with properties calculated at the PBE level.

Unit cell a=3.780 b=3.780 c=3.780 alpha=60.00 beta=60.00 gamma=60.00
Atoms (fractional coordinates):
Cu 0.000 0.000 0.000
Tc 0.500 0.500 0.500
B 0.250 0.250 0.250
B 0.750 0.750 0.750

Properties
E_form ... 0.477 eV per atom
Calculated volume ... 38.2 Å³/f.u.
Energy above the lowest structure with this stoichiometry ... 0.0 meV/atom
SG ... No. 225


4.
Below is a relaxed structure of CuTcB2, with properties calculated at the PBE level.

Unit cell a=4.759 b=4.759 c=4.759 alpha=107.53 beta=107.53 gamma=113.42
Atoms (fractional coordinates):
Cu 0.000 0.000 0.000
Cu 0.750 0.250 0.500
Tc 0.250 0.750 0.500
Tc 0.500 0.500 0.000
B 0.109 0.625 0.984
B 0.375 0.359 0.484
B 0.641 0.125 0.016
B 0.875 0.891 0.516

Properties
E_form ... 0.526 eV per atom
Calculated volume ... 41.3 Å³/f.u.
Energy above the lowest structure with this stoichiometry ... 49.8 meV/atom
SG ... No. 122


5.
Below is a relaxed structure of CuTcB3, with properties calculated at the PBE level.

Unit cell a=3.736 b=3.736 c=3.736 alpha=90.00 beta=90.00 gamma=90.00
Atoms (fractional coordinates):
Cu 0.000 0.000 0.000
Tc 0.500 0.500 0.500
B 0.000 0.000 0.500
B 0.000 0.500 0.000
B 0.500 0.000 0.000

Properties
E_form ... 1.628 eV per atom
Calculated volume ... 52.2 Å³/f.u.
Energy above the lowest structure with this stoichiometry ... 416.7 meV/atom
SG ... No. 221


6.
Below is a relaxed structure of CuTcB3, with properties calculated at the PBE level.

Unit cell a=4.049 b=4.049 c=4.049 alpha=90.00 beta=90.00 gamma=90.00
Atoms (fractional coordinates):
Cu 0.000 0.000 0.000
Tc 0.500 0.500 0.500
B 0.000 0.500 0.500
B 0.500 0.000 0.500
B 0.500 0.500 0.000

Properties
E_form ... 1.211 eV per atom
Calculated volume ... 66.4 Å³/f.u.
Energy above the lowest structure with this stoichiometry ... 0.0 meV/atom
SG ... No. 221


7.
Below is a relaxed structure of CuTc2BTe, with properties calculated at the PBE level.

Unit cell a=4.707 b=4.707 c=3.570 alpha=90.00 beta=90.00 gamma=90.00
Atoms (fractional coordinates):
Cu 0.000 0.000 0.000
Tc 0.000 0.500 0.000
Tc 0.500 0.000 0.000
B 0.000 0.000 0.500
Te 0.500 0.500 0.500

Properties
Calculated volume ... 79.1 Å³/f.u.
Formation energy from raw total energies ... 572 kJ/mol of formula units
SG ... No. 123


8.
Below is a relaxed structure of Cu2TcBW, with properties calculated at the PBE level.

Unit cell a=4.614 b=4.614 c=4.617 alpha=90.00 beta=90.00 gamma=90.00
Atoms (fractional coordinates):
Cu 0.000 0.500 0.000
Cu 0.500 0.000 0.000
Tc 0.000 0.000 0.000
B 0.500 0.500 0.500
W 0.000 0.000 0.500

Properties
E_form ... 2.375 eV per atom
Calculated volume ... 98.3 Å³/f.u.
SG ... No. 123


9.
Below is a relaxed structure of YCu2TcB, with properties calculated at the PBE level.

Unit cell a=5.006 b=5.006 c=4.925 alpha=90.00 beta=90.00 gamma=90.00
Atoms (fractional coordinates):
Y 0.000 0.000 0.000
Cu 0.000 0.500 0.000
Cu 0.500 0.000 0.000
Tc 0.000 0.000 0.500
B 0.500 0.500 0.500

Properties
E_form ... 2.474 eV per atom
Calculated volume ... 123.4 Å³/f.u.
SG ... No. 123


10.
Below is a relaxed structure of YCuTc2B, with properties calculated at the PBE level.

Unit cell a=4.279 b=4.279 c=4.086 alpha=90.00 beta=90.00 gamma=90.00
Atoms (fractional coordinates):
Y 0.000 0.000 0.000
Cu 0.500 0.500 0.000
Tc 0.000 0.500 0.500
Tc 0.500 0.000 0.500
B 0.500 0.500 0.500

Properties
E_form ... -0.020 eV per atom
Calculated volume ... 74.8 Å³/f.u.
SG ... No. 123


11.
Below is a relaxed structure of CuBTe2, with properties calculated at the PBE level.

Unit cell a=7.230 b=7.230 c=7.230 alpha=34.84 beta=34.84 gamma=34.84
Atoms (fractional coordinates):
Cu 0.000 0.000 0.000
B 0.500 0.500 0.500
Te 0.399 0.399 0.399
Te 0.601 0.601 0.601

Properties
Calculated volume ... 110.1 Å³/f.u.
Formation energy from raw total energies ... 223 kJ/mol of formula units
SG ... No. 166


12.
Below is a relaxed structure of CuB3Te, with properties calculated at the PBE level.

Unit cell a=4.083 b=4.083 c=4.083 alpha=90.00 beta=90.00 gamma=90.00
Atoms (fractional coordinates):
Cu 0.000 0.000 0.000
B 0.000 0.000 0.500
B 0.000 0.500 0.000
B 0.500 0.000 0.000
Te 0.500 0.500 0.500

Properties
Calculated volume ... 68.1 Å³/f.u.
Formation energy from raw total energies ... 769 kJ/mol of formula units
SG ... No. 221


13.
Below is a relaxed structure of Cu3BTe, with properties calculated at the PBE level.

Unit cell a=4.859 b=4.859 c=4.859 alpha=90.00 beta=90.00 gamma=90.00
Atoms (fractional coordinates):
Cu 0.000 0.000 0.500
Cu 0.000 0.500 0.000
Cu 0.500 0.000 0.000
B 0.500 0.500 0.500
Te 0.000 0.000 0.000

Properties
Calculated volume ... 114.7 Å³/f.u.
Energy above the lowest structure with this stoichiometry ... 1113.7 meV/atom
Formation energy from raw total energies ... 746 kJ/mol of formula units
SG ... No. 221


14.
Below is a relaxed structure of CuBTe, with properties calculated at the PBE level.

Unit cell a=6.016 b=6.016 c=6.016 alpha=147.44 beta=126.47 gamma=64.08
Atoms (fractional coordinates):
Cu 0.124 0.124 0.000
Cu 0.876 0.876 0.000
B 0.154 0.500 0.654
B 0.846 0.500 0.346
Te 0.348 0.848 0.500
Te 0.652 0.152 0.500

Properties
Calculated volume ... 46.6 Å³/f.u.
Formation energy from raw total energies ... 217 kJ/mol of formula units
SG ... No. 71


15.
Below is a relaxed structure of Cu3BTe, with properties calculated at the PBE level.

Unit cell a=4.162 b=4.162 c=4.162 alpha=90.00 beta=90.00 gamma=90.00
Atoms (fractional coordinates):
Cu 0.000 0.000 0.500
Cu 0.000 0.500 0.000
Cu 0.500 0.000 0.000
B 0.000 0.000 0.000
Te 0.500 0.500 0.500

Properties
Calculated volume ... 72.1 Å³/f.u.
Energy above the lowest structure with this stoichiometry ... 0.0 meV/atom
Formation energy from raw total energies ... 209 kJ/mol of formula units
SG ... No. 221


16.
Below is a relaxed structure of CuB2Te, with properties calculated at the PBE level.

Unit cell a=6.503 b=6.503 c=6.503 alpha=138.08 beta=138.08 gamma=60.79
Atoms (fractional coordinates):
Cu 0.000 0.000 0.000
Cu 0.750 0.250 0.500
B 0.064 0.625 0.939
B 0.375 0.314 0.439
B 0.686 0.125 0.061
B 0.875 0.936 0.561
Te 0.250 0.750 0.500
Te 0.500 0.500 0.000

Properties
Calculated volume ... 60.7 Å³/f.u.
Formation energy from raw total energies ... 364 kJ/mol of formula units
SG ... No. 122


17.
Below is a relaxed structure of CuBTe3, with properties calculated at the PBE level.

Unit cell a=4.817 b=4.817 c=4.817 alpha=90.00 beta=90.00 gamma=90.00
Atoms (fractional coordinates):
Cu 0.000 0.000 0.000
B 0.500 0.500 0.500
Te 0.000 0.500 0.500
Te 0.500 0.000 0.500
Te 0.500 0.500 0.000

Properties
Calculated volume ... 111.8 Å³/f.u.
Energy above the lowest structure with this stoichiometry ... 0.0 meV/atom
Formation energy from raw total energies ... 444 kJ/mol of formula units
SG ... No. 221


18.
Below is a relaxed structure of CuBTe3, with properties calculated at the PBE level.

Unit cell a=5.104 b=5.104 c=5.104 alpha=90.00 beta=90.00 gamma=90.00
Atoms (fractional coordinates):
Cu 0.000 0.000 0.000
B 0.500 0.500 0.500
Te 0.000 0.000 0.500
Te 0.000 0.500 0.000
Te 0.500 0.000 0.000

Properties
Calculated volume ... 133.0 Å³/f.u.
Energy above the lowest structure with this stoichiometry ... 313.1 meV/atom
Formation energy from raw total energies ... 595 kJ/mol of formula units
SG ... No. 221


19.
Below is a relaxed structure of CuBTe2, with properties calculated at the PBE level.

Unit cell a=8.001 b=8.001 c=8.001 alpha=26.27 beta=26.27 gamma=26.27
Atoms (fractional coordinates):
Cu 0.000 0.000 0.000
B 0.500 0.500 0.500
Te 0.106 0.106 0.106
Te 0.894 0.894 0.894

Properties
Calculated volume ... 88.4 Å³/f.u.
Formation energy from raw total energies ... 276 kJ/mol of formula units
SG ... No. 166


20.
Below is a relaxed structure of YCuB2Te, with properties calculated at the PBE level.

Unit cell a=4.115 b=4.115 c=5.380 alpha=90.00 beta=90.00 gamma=90.00
Atoms (fractional coordinates):
Y 0.000 0.000 0.000
Cu 0.500 0.500 0.500
B 0.000 0.500 0.500
B 0.500 0.000 0.500
Te 0.500 0.500 0.000

Properties
Calculated volume ... 91.1 Å³/f.u.
Formation energy from raw total energies ... 338 kJ/mol of formula units
SG ... No. 123


21.
Below is a relaxed structure of ThCuB, with properties calculated at the PBE level.

Unit cell a=4.860 b=4.860 c=6.647 alpha=102.31 beta=102.31 gamma=46.25
Atoms (fractional coordinates):
Th 0.108 0.108 0.292
Th 0.892 0.892 0.708
Cu 0.357 0.357 0.076
Cu 0.643 0.643 0.924
B 0.415 0.415 0.423
B 0.585 0.585 0.577

Properties
E_form ... -0.128 eV per atom
Calculated volume ... 55.2 Å³/f.u.
SG ... No. 12


22.
Below is a relaxed structure of TiCuB, with properties calculated at the PBE level.

Unit cell a=6.383 b=4.348 c=5.074 alpha=90.00 beta=90.00 gamma=90.00
Atoms (fractional coordinates):
Ti 0.168 0.250 0.139
Ti 0.332 0.750 0.639
Ti 0.668 0.250 0.361
Ti 0.832 0.750 0.861
Cu 0.032 0.250 0.641
Cu 0.468 0.750 0.141
Cu 0.532 0.250 0.859
Cu 0.968 0.750 0.359
B 0.163 0.750 0.029
B 0.337 0.250 0.529
B 0.663 0.750 0.471
B 0.837 0.250 0.971

Properties
E_form ... -0.129 eV per atom
Calculated volume ... 35.2 Å³/f.u.
SG ... No. 62


23.
Below is a relaxed structure of TiCuB, with properties calculated at the PBE level.

Unit cell a=4.032 b=4.032 c=4.778 alpha=90.00 beta=90.00 gamma=120.00
Atoms (fractional coordinates):
Ti 0.333 0.667 0.250
Ti 0.667 0.333 0.750
Cu 0.000 0.000 0.000
Cu 0.000 0.000 0.500
B 0.333 0.667 0.750
B 0.667 0.333 0.250

Properties
E_form ... -0.091 eV per atom
Calculated volume ... 33.6 Å³/f.u.
SG ... No. 194


24.
Below is a relaxed structure of TiCuB, with properties calculated at the PBE level.

Unit cell a=4.273 b=3.038 c=5.651 alpha=90.00 beta=101.61 gamma=90.00
Atoms (fractional coordinates):
Ti 0.000 0.000 0.000
Ti 0.382 0.000 0.573
Cu 0.517 0.500 0.171
Cu 0.884 0.500 0.633
B 0.051 0.500 0.306
B 0.854 0.000 0.358

Properties
E_form ... -0.126 eV per atom
Calculated volume ... 35.9 Å³/f.u.
SG ... No. 6


25.
Below is a relaxed structure of Ti2CuB2, with properties calculated at the PBE level.

Unit cell a=5.814 b=5.814 c=3.213 alpha=90.00 beta=90.00 gamma=90.00
Atoms (fractional coordinates):
Ti 0.179 0.321 0.000
Ti 0.321 0.821 0.000
Ti 0.679 0.179 0.000
Ti 0.821 0.679 0.000
Cu 0.000 0.000 0.500
Cu 0.500 0.500 0.500
B 0.105 0.605 0.500
B 0.395 0.105 0.500
B 0.605 0.895 0.500
B 0.895 0.395 0.500

Properties
E_form ... -0.571 eV per atom
Calculated volume ... 54.3 Å³/f.u.
SG ... No. 127


26.
Below is a relaxed structure of TiCuB, with properties calculated at the PBE level.

Unit cell a=4.517 b=3.026 c=5.453 alpha=90.00 beta=110.52 gamma=90.00
Atoms (fractional coordinates):
Ti 0.030 0.250 0.284
Ti 0.970 0.750 0.716
Cu 0.500 0.250 0.828
Cu 0.500 0.750 0.172
B 0.412 0.750 0.519
B 0.588 0.250 0.481

Properties
E_form ... -0.257 eV per atom
Calculated volume ... 34.9 Å³/f.u.
SG ... No. 11


27.
Below is a relaxed structure of TiCuB, with properties calculated at the PBE level.

Unit cell a=3.758 b=3.336 c=5.722 alpha=90.00 beta=100.26 gamma=90.00
Atoms (fractional coordinates):
Ti 0.000 0.000 0.000
Ti 0.368 0.000 0.543
Cu 0.463 0.500 0.905
Cu 0.803 0.500 0.343
B 0.278 0.500 0.242
B 0.901 0.500 0.705

Properties
E_form ... -0.118 eV per atom
Calculated volume ... 35.3 Å³/f.u.
SG ... No. 6


28.
Below is a relaxed structure of TiCuB, with properties calculated at the PBE level.

Unit cell a=4.428 b=4.428 c=5.819 alpha=100.60 beta=100.60 gamma=39.98
Atoms (fractional coordinates):
Ti 0.000 0.000 0.000
Ti 0.221 0.221 0.625
Cu 0.479 0.479 0.356
Cu 0.746 0.746 0.219
B 0.509 0.509 0.721
B 0.930 0.930 0.606

Properties
E_form ... -0.235 eV per atom
Calculated volume ... 35.9 Å³/f.u.
SG ... No. 8